Entry 1:
Crystalline NbZnCoAu at its relaxed geometry. Source: the Alexandria database, functional PBE.

a b c (Å): 2.873 2.873 7.274
angles (deg): 90.00 90.00 90.00
Each line ends with the local moment (μB).
Sites, in units of the cell vectors:
Nb 0.500 0.500 0.786  0.00
Zn 0.500 0.500 0.355  0.00
Co 0.000 0.000 0.557  0.08
Au 0.000 0.000 0.087  0.00

* crystal system: tetragonal
* DOS(E_F): 3.8 states/eV per cell
* E: -22.3 eV per cell
* E_form: -3.1 kcal/mol of atoms


Entry 2:
Crystalline NdEr12Sc6 at its relaxed geometry. Source: the Alexandria database, functional PBE.

a b c (Å): 8.991 8.991 8.991
angles (deg): 109.47 109.47 109.47
Sites, in units of the cell vectors:
Nd 0.000 0.000 0.000
Er 0.267 0.070 0.803
Er 0.267 0.463 0.197
Er 0.733 0.537 0.803
Er 0.733 0.930 0.197
Er 0.070 0.803 0.267
Er 0.463 0.197 0.267
Er 0.537 0.803 0.733
Er 0.930 0.197 0.733
Er 0.803 0.267 0.070
Er 0.197 0.267 0.463
Er 0.803 0.733 0.537
Er 0.197 0.733 0.930
Sc 0.362 0.500 0.862
Sc 0.638 0.500 0.138
Sc 0.500 0.862 0.362
Sc 0.500 0.138 0.638
Sc 0.862 0.362 0.500
Sc 0.138 0.638 0.500

* crystal system: cubic
* DOS(E_F): 31.7 states/eV per cell
* E: -92.8 eV per cell
* E_form: 5.7 kcal/mol of atoms
* relative energy among the computed polymorphs: 0.00 kcal/mol of atoms


Entry 3:
Crystalline ReGeS3 at its relaxed geometry. Source: the Alexandria database, functional PBE.

a b c (Å): 4.495 4.495 4.495
angles (deg): 90.00 90.00 90.00
Sites, in units of the cell vectors:
Re 0.500 0.500 0.500
Ge 0.000 0.000 0.000
S 0.000 0.500 0.000
S 0.000 0.000 0.500
S 0.500 0.000 0.000

* crystal system: cubic
* DOS(E_F): 3.9 states/eV per cell
* E: -22.5 eV per cell
* relative energy among the computed polymorphs: 22.27 kcal/mol of atoms
* formation energy (no corrections): 1.387 eV/atom